(1)
Compound: TlFeSb4
Source: Alexandria
Functional: PBEsol
Structure: optimized geometry

Lattice parameters (Å, degrees): 6.145 6.145 6.145 60.00 60.00 60.00
Last column: magnetic moment on the atom in μB.
Fractional positions:
1 Sb 0.375 0.375 0.876  0.02
2 Sb 0.375 0.375 0.375  0.02
3 Sb 0.375 0.876 0.375  0.02
4 Sb 0.876 0.375 0.375  0.02
5 Fe 0.000 0.000 0.000  3.28
6 Tl 0.750 0.750 0.750  -0.01

Output
The calculation puts the raw formation energy at 0.671 eV/atom.

***

(2)
Compound: BaHgSe2
Source: Alexandria
Functional: PBEsol
Structure: optimized geometry

Lattice parameters (Å, degrees): 4.144 4.144 9.352 77.20 77.20 60.00
Last column: magnetic moment on the atom in μB.
Fractional positions:
1 Hg 0.500 0.500 0.500  -0.01
2 Ba 0.000 0.000 0.000  0.14
3 Se 0.113 0.113 0.661  -0.05
4 Se 0.887 0.887 0.339  -0.05

Output
The calculation puts the raw formation energy at -0.197 eV/atom.

***

Number 1: energy -4.30 eV per atom, volume 164.1 Å³/cell, N(E_F) 1.15 states/eV/atom. Number 2: energy -2.80 eV per atom, volume 134.4 Å³/cell, N(E_F) 1.15 states/eV/atom.